The following is a DFT calculation (PBE-GGA) of a geometry-optimized Dy12Ni6Hg structure. Values from VASP.

The structure in Quantum ESPRESSO input format:
```
&SYSTEM
  ibrav = 0, nat = 19, ntyp = 3
/
ATOMIC_SPECIES
Dy 162.50 Dy.upf
Ni 58.69 Ni.upf
Hg 200.59 Hg.upf
CELL_PARAMETERS angstrom
8.369 0.000 0.000
-2.790 7.891 0.000
-2.790 -3.945 6.834
ATOMIC_POSITIONS angstrom
Dy -0.064 -2.297 5.559
Dy 0.645 3.120 1.274
Dy 2.145 0.826 5.559
Dy 2.853 6.243 1.274
Dy -2.145 5.227 2.065
Dy 2.726 0.280 2.065
Dy 0.064 3.666 4.769
Dy 4.934 -1.282 4.769
Dy 5.643 1.928 0.790
Dy -0.645 0.456 3.339
Dy 3.435 3.489 3.495
Dy -2.853 2.018 6.043
Ni -0.692 0.489 5.987
Ni 3.481 3.456 0.847
Ni 0.692 5.429 2.570
Ni 2.098 -1.484 4.264
Ni 4.888 0.995 3.417
Ni -2.098 2.951 3.417
Hg 0.000 0.000 0.000
```

Calculated values
N(E_F) (states/eV/f.u.): 21.18
Spin magnetization (μB per formula unit): 0.000
Energy of formation (meV/atom): -352
Total DFT energy (no corrections) (eV per atom): -5.10

***

The following is a DFT calculation (PBE-GGA) of a geometry-optimized Dy5NiHg2 structure. Values from VASP.

The structure in Quantum ESPRESSO input format:
```
&SYSTEM
  ibrav = 0, nat = 16, ntyp = 3
/
ATOMIC_SPECIES
Dy 162.50 Dy.upf
Ni 58.69 Ni.upf
Hg 200.59 Hg.upf
CELL_PARAMETERS angstrom
-5.662 0.166 -0.026
2.656 -5.577 2.915
0.119 5.789 10.965
ATOMIC_POSITIONS angstrom
Dy -2.875 0.536 12.262
Dy -2.909 -1.113 9.139
Dy -0.080 -1.630 6.923
Dy -0.124 -3.740 2.926
Dy -2.839 0.337 3.359
Dy -0.048 0.042 10.496
Dy -2.807 2.009 6.932
Dy -2.763 4.119 10.928
Dy -0.012 -0.158 1.592
Dy 0.022 1.491 4.716
Ni -2.835 1.493 9.760
Ni -0.052 -1.114 4.095
Hg -2.898 -1.241 5.929
Hg -2.927 -2.675 3.213
Hg 0.011 1.619 7.925
Hg 0.040 3.053 10.642
```

Calculated values
N(E_F) (states/eV/f.u.): 8.42
Spin magnetization (μB per formula unit): 0.000
Energy relative to the lowest polymorph listed for this composition (meV/atom): 216
Energy of formation (meV/atom): -126
Total DFT energy (no corrections) (eV per atom): -3.80

***

The following is a DFT calculation (PBE-GGA) of a geometry-optimized Dy5NiHg2 structure. Values from VASP.

The structure in Quantum ESPRESSO input format:
```
&SYSTEM
  ibrav = 0, nat = 16, ntyp = 3
/
ATOMIC_SPECIES
Dy 162.50 Dy.upf
Ni 58.69 Ni.upf
Hg 200.59 Hg.upf
CELL_PARAMETERS angstrom
-0.197 4.031 2.783
-5.005 2.707 -4.275
-8.461 -5.046 6.710
ATOMIC_POSITIONS angstrom
Dy -4.230 -2.523 3.355
Dy -2.503 1.353 -2.138
Dy -6.067 1.304 -2.318
Dy -7.399 -3.643 4.753
Dy -9.148 -1.840 2.018
Dy -4.317 -0.499 0.417
Dy -6.968 1.753 1.285
Dy -6.695 -0.062 3.933
Dy -11.962 -0.357 3.988
Dy -1.701 2.049 1.230
Ni -6.733 -1.170 1.217
Ni 0.000 0.000 0.000
Hg -4.389 2.819 -0.076
Hg -9.274 -1.127 5.294
Hg -10.214 1.158 1.917
Hg -3.449 0.533 3.301
```

Calculated values
N(E_F) (states/eV/f.u.): 7.48
Spin magnetization (μB per formula unit): 0.000
Energy relative to the lowest polymorph listed for this composition (meV/atom): 0
Energy of formation (meV/atom): -342
Total DFT energy (no corrections) (eV per atom): -4.02

***

The following is a DFT calculation (PBE-GGA) of a geometry-optimized Dy3Ni8Hg structure. Values from VASP.

The structure in Quantum ESPRESSO input format:
```
&SYSTEM
  ibrav = 0, nat = 12, ntyp = 3
/
ATOMIC_SPECIES
Dy 162.50 Dy.upf
Ni 58.69 Ni.upf
Hg 200.59 Hg.upf
CELL_PARAMETERS angstrom
5.020 0.000 0.000
2.510 4.348 0.000
2.510 1.449 8.244
ATOMIC_POSITIONS angstrom
Dy 5.020 2.899 7.165
Dy 7.531 4.348 0.156
Dy 5.021 2.899 3.985
Ni 6.291 2.165 1.522
Ni 6.275 5.073 5.682
Ni 3.750 2.165 1.522
Ni 8.786 5.073 5.682
Ni 2.510 1.449 3.606
Ni 7.531 4.348 7.722
Ni 5.021 4.365 1.522
Ni 7.531 2.898 5.682
Hg 7.531 4.348 3.157
```

Calculated values
N(E_F) (states/eV/f.u.): 8.61
Spin magnetization (μB per formula unit): 0.000
Energy of formation (meV/atom): -403
Total DFT energy (no corrections) (eV per atom): -5.43

***

The following is a DFT calculation (PBE-GGA) of a geometry-optimized DyNiHgPd structure. Values from VASP.

The structure in Quantum ESPRESSO input format:
```
&SYSTEM
  ibrav = 0, nat = 4, ntyp = 4
/
ATOMIC_SPECIES
Ni 58.69 Ni.upf
Hg 200.59 Hg.upf
Pd 106.42 Pd.upf
Dy 162.50 Dy.upf
CELL_PARAMETERS angstrom
4.712 0.000 0.000
2.356 4.080 0.000
2.356 1.360 3.847
ATOMIC_POSITIONS angstrom
Ni 2.356 1.360 0.962
Hg 4.712 2.720 1.924
Pd 7.067 4.080 2.885
Dy 0.000 0.000 0.000
```

Calculated values
N(E_F) (states/eV/f.u.): 2.66
Spin magnetization (μB per formula unit): 0.000
Energy of formation (meV/atom): -440
Total DFT energy (no corrections) (eV per atom): -4.41

***

The following is a DFT calculation (PBE-GGA) of a geometry-optimized PmDyNiHg structure. Values from VASP.

The structure in Quantum ESPRESSO input format:
```
&SYSTEM
  ibrav = 0, nat = 4, ntyp = 4
/
ATOMIC_SPECIES
Ni 58.69 Ni.upf
Pm 145.00 Pm.upf
Hg 200.59 Hg.upf
Dy 162.50 Dy.upf
CELL_PARAMETERS angstrom
-1.276 2.226 4.425
-4.479 2.431 0.443
-3.719 -1.997 2.889
ATOMIC_POSITIONS angstrom
Ni 0.000 0.000 0.000
Pm -2.369 0.665 1.939
Hg -4.737 1.330 3.878
Dy -7.106 1.995 5.818
```

Calculated values
N(E_F) (states/eV/f.u.): 2.92
Spin magnetization (μB per formula unit): 0.000
Energy of formation (meV/atom): -322
Total DFT energy (no corrections) (eV per atom): -4.18

***

The following is a DFT calculation (PBE-GGA) of a geometry-optimized DyNiHgRh structure. Values from VASP.

The structure in Quantum ESPRESSO input format:
```
&SYSTEM
  ibrav = 0, nat = 4, ntyp = 4
/
ATOMIC_SPECIES
Ni 58.69 Ni.upf
Rh 102.91 Rh.upf
Hg 200.59 Hg.upf
Dy 162.50 Dy.upf
CELL_PARAMETERS angstrom
4.661 0.000 0.000
2.331 4.037 0.000
2.331 1.346 3.806
ATOMIC_POSITIONS angstrom
Ni 2.331 1.346 0.951
Rh 6.992 4.037 2.854
Hg 4.661 2.691 1.903
Dy 0.000 0.000 0.000
```

Calculated values
N(E_F) (states/eV/f.u.): 2.29
Spin magnetization (μB per formula unit): 0.000
Energy of formation (meV/atom): -353
Total DFT energy (no corrections) (eV per atom): -4.86

***

The following is a DFT calculation (PBE-GGA) of a geometry-optimized DyScNiHg structure. Values from VASP.

The structure in Quantum ESPRESSO input format:
```
&SYSTEM
  ibrav = 0, nat = 4, ntyp = 4
/
ATOMIC_SPECIES
Sc 44.96 Sc.upf
Ni 58.69 Ni.upf
Hg 200.59 Hg.upf
Dy 162.50 Dy.upf
CELL_PARAMETERS angstrom
-4.795 0.846 0.659
-3.285 -1.937 -3.097
-2.951 -3.629 1.503
ATOMIC_POSITIONS angstrom
Sc -2.758 -1.180 -0.234
Ni 0.000 0.000 0.000
Hg -5.515 -2.360 -0.467
Dy -8.273 -3.541 -0.701
```

Calculated values
N(E_F) (states/eV/f.u.): 2.80
Spin magnetization (μB per formula unit): 0.000
Energy of formation (meV/atom): -346
Total DFT energy (no corrections) (eV per atom): -4.60